ErSc3Tc (GGA-PBE, optimized geometry); magnetization = 0.00 μB/atom; symmetry = Pm-3m; DOS(E_F) = 5.86 states/eV/cell; formation energy = 0.0622 eV/atom; energy = -6.722 eV per atom; energy above the lowest structure with this stoichiometry = 91 meV per atom
1.0
5.056 0.000 0.000
0.000 5.056 0.000
0.000 0.000 5.056
Er Sc Tc
1 3 1
Cartesian
0.000 0.000 0.000
0.000 2.528 2.528
2.528 0.000 2.528
2.528 2.528 0.000
2.528 2.528 2.528

***

Na2TaAg3Se6 (GGA-PBE, optimized geometry); magnetization = 0.00 μB/atom; symmetry = C2/m; DOS(E_F) = 8.88 states/eV/cell; energy = -4.085 eV per atom; raw formation energy = -422 meV/atom
1.0
3.556 -6.520 0.000
3.556 6.520 0.000
-2.529 0.000 6.117
Na Ta Ag Se
2 1 3 6
Cartesian
3.556 4.163 0.000
3.556 -4.163 0.000
3.556 0.000 0.000
-1.265 0.000 3.058
2.291 1.916 3.058
2.291 -1.916 3.058
0.089 1.876 4.481
1.311 0.000 1.187
0.089 -1.876 4.481
4.494 1.876 1.636
3.271 0.000 4.930
4.494 -1.876 1.636

***

CdPBr2 (GGA-PBE, optimized geometry); magnetization = 0.00 μB/atom; symmetry = P2/m; DOS(E_F) = 0.41 states/eV/cell; energy = -2.455 eV per atom; energy above the lowest structure with this stoichiometry = 183 meV per atom; raw formation energy = -37 meV/atom
1.0
5.393 0.000 0.000
0.000 3.694 0.000
-2.684 0.000 6.951
Cd P Br
1 1 2
Cartesian
0.000 0.000 0.000
2.696 0.000 0.000
0.011 1.847 5.111
2.699 1.847 1.840

***

NbAgAs2Br (GGA-PBE, optimized geometry); magnetization = 0.00 μB/atom; symmetry = P4/mmm; DOS(E_F) = 3.49 states/eV/cell; energy = -4.498 eV per atom; energy above the lowest structure with this stoichiometry = 0 meV per atom; raw formation energy = 280 meV/atom
1.0
5.003 0.000 0.000
0.000 5.003 0.000
0.000 0.000 5.331
Nb Ag As Br
1 1 2 1
Cartesian
0.000 0.000 0.000
2.501 2.501 2.666
0.000 2.501 0.000
2.501 0.000 0.000
0.000 0.000 2.666

***

V2GeBr6 (GGA-PBE, optimized geometry); magnetization = 0.67 μB/atom; symmetry = C2/c; DOS(E_F) = 1.60 states/eV/cell; energy = -4.294 eV per atom; energy above the lowest structure with this stoichiometry = 77 meV per atom; raw formation energy = -640 meV/atom
1.0
7.284 -5.807 0.000
7.284 5.807 0.000
-3.001 0.000 6.035
V Ge Br
4 2 12
Cartesian
2.078 0.940 2.928
0.578 -0.940 5.946
10.988 0.940 0.089
9.488 -0.940 3.106
5.033 1.195 4.526
6.533 -1.195 1.509
1.785 0.826 0.395
3.935 2.866 2.734
0.284 -0.826 3.412
2.405 1.009 5.641
9.132 2.866 0.283
3.906 -1.009 2.624
7.660 1.009 3.411
2.434 -2.866 5.751
9.161 -1.009 0.394
11.282 0.826 2.622
7.631 -2.866 3.301
9.781 -0.826 5.640

***

BeHN3 (GGA-PBE, optimized geometry); magnetization = 0.00 μB/atom; symmetry = Pm-3m; DOS(E_F) = 1.86 states/eV/cell; energy = -4.143 eV per atom
1.0
3.163 0.000 0.000
0.000 3.163 0.000
0.000 0.000 3.163
Be H N
1 1 3
Cartesian
0.000 0.000 0.000
1.582 1.582 1.582
0.000 1.582 1.582
1.582 0.000 1.582
1.582 1.582 0.000

***

NbSiMoAu2 (GGA-PBE, optimized geometry); magnetization = 0.73 μB/atom; symmetry = P4/mmm; DOS(E_F) = 5.23 states/eV/cell; energy = -5.151 eV per atom; raw formation energy = 1424 meV/atom
1.0
5.059 0.000 0.000
0.000 5.059 0.000
0.000 0.000 4.801
Nb Si Mo Au
1 1 1 2
Cartesian
0.000 0.000 0.000
0.000 0.000 2.401
2.529 2.529 2.401
0.000 2.529 0.000
2.529 0.000 0.000

***

Tb4TlBiC (GGA-PBE, optimized geometry); magnetization = 0.00 μB/atom; symmetry = Cmcm; DOS(E_F) = 3.17 states/eV/cell; formation energy = -0.5306 eV/atom; energy = -5.387 eV per atom
1.0
3.438 -8.041 0.000
3.438 8.041 0.000
0.000 0.000 6.877
Tb Tl Bi C
8 2 2 2
Cartesian
1.719 4.020 0.000
1.719 4.020 3.438
3.438 6.607 5.157
3.438 1.527 5.157
1.719 -4.020 0.000
1.719 -4.020 3.438
3.438 -1.527 1.719
3.438 -6.607 1.719
3.438 6.253 1.719
3.438 -6.253 5.157
3.438 1.715 1.719
3.438 -1.715 5.157
3.438 4.012 5.157
3.438 -4.012 1.719

***

YCr2Fe (GGA-PBE, optimized geometry); magnetization = 0.00 μB/atom; symmetry = R3m; DOS(E_F) = 16.16 states/eV/cell; formation energy = 0.2937 eV/atom; energy = -8.250 eV per atom; energy above the lowest structure with this stoichiometry = 0 meV per atom
1.0
3.948 0.000 0.000
-1.974 3.419 0.000
0.000 0.000 15.250
Y Cr Fe
3 6 3
Cartesian
0.000 0.000 0.000
0.000 2.279 10.167
1.974 1.140 5.083
0.000 0.000 7.801
0.000 0.000 12.249
0.000 2.279 2.718
0.000 2.279 7.166
1.974 1.140 2.082
1.974 1.140 12.885
0.000 0.000 2.904
0.000 2.279 13.071
1.974 1.140 7.988

***

CsSn2Pd2 (GGA-PBE, optimized geometry); magnetization = 0.00 μB/atom; symmetry = I4/mmm; DOS(E_F) = 4.47 states/eV/cell; formation energy = -0.3657 eV/atom; energy = -4.215 eV per atom; energy above the lowest structure with this stoichiometry = 1 meV per atom
1.0
4.753 0.000 0.000
0.000 4.753 0.000
0.000 0.000 13.252
Cs Sn Pd
2 4 4
Cartesian
0.000 0.000 0.000
2.376 2.376 6.626
0.000 0.000 4.531
0.000 0.000 8.721
2.376 2.376 2.095
2.376 2.376 11.157
0.000 2.376 3.313
0.000 2.376 9.939
2.376 0.000 3.313
2.376 0.000 9.939

***

Ca2PrPbN (GGA-PBE, optimized geometry); magnetization = 0.00 μB/atom; symmetry = P4/mmm; DOS(E_F) = 0.34 states/eV/cell; energy = -5.056 eV per atom; raw formation energy = -893 meV/atom
1.0
4.920 0.000 0.000
0.000 4.920 0.000
0.000 0.000 5.105
Ca Pr Pb N
2 1 1 1
Cartesian
0.000 2.460 0.000
2.460 0.000 0.000
0.000 0.000 2.553
2.460 2.460 2.553
0.000 0.000 0.000

***

PrEr2Ag3 (GGA-PBE, optimized geometry); magnetization = 0.01 μB/atom; symmetry = P4/mmm; DOS(E_F) = 2.95 states/eV/cell; formation energy = -0.3087 eV/atom; energy = -4.052 eV per atom
1.0
3.630 0.000 0.000
0.000 3.630 0.000
0.000 0.000 11.167
Pr Er Ag
1 2 3
Cartesian
0.000 0.000 0.000
0.000 0.000 3.789
0.000 0.000 7.378
1.815 1.815 2.082
1.815 1.815 5.583
1.815 1.815 9.085

***

Rb3Tl2Au3 (GGA-PBE, optimized geometry); magnetization = 0.00 μB/atom; symmetry = Cmcm; DOS(E_F) = 4.99 states/eV/cell; formation energy = -0.2324 eV/atom; energy = -2.416 eV per atom; energy above the lowest structure with this stoichiometry = 8 meV per atom
1.0
2.548 -6.422 0.000
2.548 6.422 0.000
0.000 0.000 16.664
Rb Tl Au
6 4 6
Cartesian
2.548 5.444 10.284
2.548 5.444 14.712
2.548 1.614 12.498
2.548 -1.614 4.166
2.548 -5.444 1.952
2.548 -5.444 6.380
2.548 3.651 1.379
2.548 3.651 6.952
2.548 -3.651 9.711
2.548 -3.651 15.284
2.548 2.392 4.166
2.548 1.342 8.815
2.548 1.342 16.180
2.548 -1.342 0.483
2.548 -1.342 7.849
2.548 -2.392 12.498

***

CaUO4 (GGA-PBE, optimized geometry); magnetization = 0.00 μB/atom; symmetry = P4/mmm; energy = -8.663 eV per atom; raw formation energy = -3143 meV/atom
1.0
3.715 0.000 0.000
0.000 3.715 0.000
0.000 0.000 5.483
Ca U O
1 1 4
Cartesian
0.000 0.000 0.000
1.857 1.857 2.742
0.000 1.857 1.520
0.000 1.857 3.964
1.857 0.000 1.520
1.857 0.000 3.964

***

Nd2TlCo (GGA-PBE, optimized geometry); magnetization = 0.00 μB/atom; symmetry = C2/m; DOS(E_F) = 11.17 states/eV/cell; formation energy = -0.2109 eV/atom; energy = -4.963 eV per atom
1.0
14.292 0.000 0.000
0.000 3.796 0.000
-0.582 0.000 7.696
Nd Tl Co
8 4 4
Cartesian
0.407 0.000 2.264
2.822 0.000 5.361
3.742 1.898 2.334
6.158 1.898 5.432
7.552 1.898 2.264
9.968 1.898 5.361
10.888 0.000 2.334
13.303 0.000 5.432
1.026 1.898 7.405
5.538 0.000 0.291
8.172 0.000 7.405
12.683 1.898 0.291
1.043 1.898 4.418
5.521 0.000 3.278
8.189 0.000 4.418
12.667 1.898 3.278

***

Nd3SiTe6 (GGA-PBE, optimized geometry); magnetization = 0.00 μB/atom; symmetry = Cmc2_1; DOS(E_F) = 7.58 states/eV/cell; energy = -4.883 eV per atom; raw formation energy = -1026 meV/atom
1.0
6.167 -7.617 0.000
6.167 7.617 0.000
0.000 0.000 7.421
Nd Si Te
6 2 12
Cartesian
6.167 6.176 3.710
3.943 1.461 2.862
3.943 -1.461 6.573
8.390 1.461 2.862
8.390 -1.461 6.573
6.167 -6.176 0.000
6.167 3.078 6.272
6.167 -3.078 2.562
4.094 4.037 4.985
2.007 0.593 5.149
2.007 -0.593 1.439
6.167 3.357 1.512
8.239 4.037 4.985
6.167 0.612 5.224
6.167 -0.612 1.514
4.094 -4.037 1.275
6.167 -3.357 5.222
10.326 0.593 5.149
10.326 -0.593 1.439
8.239 -4.037 1.275

***

Y2ZrCl (GGA-PBE, optimized geometry); magnetization = 0.00 μB/atom; symmetry = I-4m2; DOS(E_F) = 12.06 states/eV/cell; energy = -5.773 eV per atom; energy above the lowest structure with this stoichiometry = 675 meV per atom; raw formation energy = 58 meV/atom
1.0
4.371 0.000 0.000
0.000 4.371 0.000
0.000 0.000 11.189
Y Zr Cl
4 2 2
Cartesian
0.000 0.000 0.000
0.000 2.185 2.797
2.185 0.000 8.392
2.185 2.185 5.594
0.000 2.185 8.392
2.185 0.000 2.797
0.000 0.000 5.594
2.185 2.185 0.000

***

SbTeBr2 (GGA-PBE, optimized geometry); magnetization = 0.00 μB/atom; symmetry = Pmmm; DOS(E_F) = 3.06 states/eV/cell; energy = -2.415 eV per atom; energy above the lowest structure with this stoichiometry = 531 meV per atom; raw formation energy = 237 meV/atom
1.0
3.374 0.000 0.000
0.000 4.697 0.000
0.000 0.000 6.789
Sb Te Br
1 1 2
Cartesian
0.000 0.000 0.000
0.000 0.000 3.394
1.687 2.349 1.625
1.687 2.349 5.164

***

BaMgIr (GGA-PBE, optimized geometry); magnetization = 0.00 μB/atom; symmetry = P-1; DOS(E_F) = 3.61 states/eV/cell; formation energy = -0.1370 eV/atom; energy = -4.263 eV per atom
1.0
5.189 0.000 0.000
-0.271 6.119 0.000
-1.440 -1.675 5.855
Ba Mg Ir
2 2 2
Cartesian
0.064 1.580 1.279
3.414 2.865 4.576
1.201 -0.403 4.272
2.277 4.848 1.584
-0.292 4.624 2.085
3.769 -0.179 3.771

***

SrSc2Zn (GGA-PBE, optimized geometry); magnetization = 0.00 μB/atom; symmetry = Pmmm; DOS(E_F) = 4.39 states/eV/cell; formation energy = 0.1938 eV/atom; energy = -3.711 eV per atom
1.0
3.909 0.000 0.000
0.000 5.174 0.000
0.000 0.000 5.174
Sr Sc Zn
1 2 1
Cartesian
0.000 0.000 0.000
0.000 2.587 2.587
1.954 0.000 2.587
1.954 2.587 0.000